Entry from Alexandria: a geometry-optimized YAl4Zn12 structure (PBE-GGA).

Summary:
- DFT total energy: -32.78 eV per formula unit
- Formation energy: 232 meV/atom

Structure (POSCAR):
```
YAl4Zn12
1.0
-2.078 6.706 2.928
-5.293 -2.368 -4.923
0.717 -5.098 5.599
Zn Al Y
12 4 1
Direct
0.646 0.499 0.853
0.499 0.853 0.646
0.646 0.793 0.147
0.853 0.646 0.499
0.501 0.147 0.354
0.354 0.501 0.147
0.793 0.147 0.646
0.853 0.354 0.207
0.207 0.853 0.354
0.147 0.354 0.501
0.354 0.207 0.853
0.147 0.646 0.793
0.000 0.500 0.000
0.500 0.000 0.000
0.000 0.000 0.500
0.500 0.500 0.500
0.000 0.000 0.000
```